! Nd12ZnRh6 | Alexandria via LeMat-Bulk | PBE-GGA | relaxed; values from VASP
! Formation enthalpy at 0 K (eV per atom): -0.410
! VASP energy (eV/atom): -5.809
! Calculated density (g/cm3): 7.04
&SYSTEM
  ibrav = 0, nat = 19, ntyp = 3
/
ATOMIC_SPECIES
Nd 144.24 Nd.upf
Zn 65.41 Zn.upf
Rh 102.91 Rh.upf
CELL_PARAMETERS angstrom
6.591 3.806 3.782
-6.591 3.806 3.782
0.000 -7.611 3.782
ATOMIC_POSITIONS crystal
Nd 0.065 0.671 0.922
Nd 0.078 0.935 0.329
Nd 0.175 0.416 0.570
Nd 0.329 0.078 0.935
Nd 0.416 0.570 0.175
Nd 0.430 0.825 0.584
Nd 0.570 0.175 0.416
Nd 0.584 0.430 0.825
Nd 0.671 0.922 0.065
Nd 0.825 0.584 0.430
Nd 0.922 0.065 0.671
Nd 0.935 0.329 0.078
Zn 0.000 0.000 0.000
Rh 0.139 0.615 0.309
Rh 0.309 0.139 0.615
Rh 0.385 0.691 0.861
Rh 0.615 0.309 0.139
Rh 0.691 0.861 0.385
Rh 0.861 0.385 0.691